Compound: BaCdH2Pb
Source: the Alexandria database
Functional: PBE
Structure: optimized geometry

Summary:
* E_tot: -0.15980 Ry/atom
* symmetry: P4/mmm (123)

```
BaCdH2Pb
1.0
-4.1525 -2.5678 2.8890
1.3960 -5.3661 -2.7629
3.6477 -1.2010 4.1756
Ba Cd H Pb
1 1 2 1
Cartesian
0.4456 -4.5674 2.1508 Ba
0.6980 -2.6831 -1.3815 Cd
-2.0763 -1.2839 1.4445 H
1.8238 -0.6005 2.0878 H
0.0000 0.0000 0.0000 Pb
```